[1]
## ZnNi4Pt2 (GGA-PBE)

Data for an optimized crystal structure of ZnNi4Pt2.

Cell lengths 4.3114, 7.0082, 12.4049 Å; angles 90.00, 90.00, 90.00 degrees
Closest atoms and distances in Å follow each position.
Space group Cmcm (No. 63)
Unique sites:
Zn 0.0000 0.0607 0.2500  5 Ni 2.41-2.67
Ni 0.0000 0.0000 0.0000  6 Pt 2.47-2.54, 2 Ni 2.72
Ni 0.0000 0.2786 0.6530  2 Ni 2.41-2.52, 3 Pt 2.59-2.64, 1 Zn 2.67
Ni 0.0000 0.4050 0.2500  3 Zn 2.41-2.42, 2 Pt 2.44, 2 Ni 2.52
Pt 0.0000 0.3368 0.0573  7 Ni 2.44-2.64, 1 Pt 2.69

## Properties
Its formation energy is 0.0258 eV per atom.

[2]
## TaNiC3 (GGA-PBE)

Data for an optimized crystal structure of TaNiC3.

Cell lengths 3.6943, 3.6943, 3.6943 Å; angles 90.00, 90.00, 90.00 degrees
Closest atoms and distances in Å follow each position.
Space group Pm-3m (No. 221)
Unique sites:
Ta 0.0000 0.0000 0.0000  12 C 2.61
Ni 0.5000 0.5000 0.5000  6 C 1.85
C 0.0000 0.5000 0.5000  2 Ni 1.85

## Properties
As for the offset from the most stable computed form: 0.00 eV per formula unit. Its formation energy is 1.8742 eV per atom.

no.,calculated total energy (eV/cell)
1,-145.201
2,-35.935